[1]
An optimized crystal structure of Si2CS, computed with PBE.

The value obtained for the magnetic moment is 0.000 μB/f.u. Its uncorrected formation energy is 1.76 eV per formula unit. As for the raw total energy: -22.44 eV per formula unit.

It has space group I-42d (No. 122), with a = 4.5981 Å, b = 4.5981 Å, c = 10.7048 Å, α = 90.00°, β = 90.00° and γ = 90.00°. Symmetry generates all atoms from Si at (0.1562, 0.2500, 0.1250), C at (0.0000, 0.0000, 0.0000) and S at (0.0000, 0.0000, 0.5000).

---

[2]
An optimized crystal structure of SiCS2, computed with PBE.

The value obtained for the magnetic moment is 0.000 μB/f.u. Its uncorrected formation energy is 4.77 eV per formula unit. As for the raw total energy: -18.13 eV per formula unit.

It has space group I-42d (No. 122), with a = 5.8171 Å, b = 5.8171 Å, c = 7.0622 Å, α = 90.00°, β = 90.00° and γ = 90.00°. Symmetry generates all atoms from Si at (0.0000, 0.0000, 0.0000), C at (0.0000, 0.0000, 0.5000) and S at (0.2111, 0.2500, 0.6250).

---

[3]
An optimized crystal structure of SiCS, computed with PBE.

The value obtained for the magnetic moment is 0.000 μB/f.u. Its uncorrected formation energy is 2.25 eV per formula unit. As for the raw total energy: -16.52 eV per formula unit.

It has space group Cm (No. 8), with a = 12.9190 Å, b = 2.9413 Å, c = 2.9407 Å, α = 90.00°, β = 90.74° and γ = 90.00°. Symmetry generates all atoms from Si at (0.0000, 0.0000, 0.0000), C at (0.4097, 0.5000, 0.4948) and S at (0.2846, 0.5000, 0.4875).

---

[4]
An optimized crystal structure of SiCS3, computed with PBE.

The value obtained for the magnetic moment is 0.000 μB/f.u. Its uncorrected formation energy is 6.06 eV per formula unit. As for the raw total energy: -20.96 eV per formula unit.

It has space group Pm-3m (No. 221), with a = 4.1128 Å, b = 4.1128 Å, c = 4.1128 Å, α = 90.00°, β = 90.00° and γ = 90.00°. Symmetry generates all atoms from Si at (0.0000, 0.0000, 0.0000), C at (0.5000, 0.5000, 0.5000) and S at (0.0000, 0.5000, 0.5000).

---

[5]
An optimized crystal structure of SiCS3, computed with PBE.

The value obtained for the magnetic moment is 0.832 μB/f.u. Its uncorrected formation energy is 8.32 eV per formula unit. As for the raw total energy: -18.71 eV per formula unit.

It has space group Pm-3m (No. 221), with a = 4.4628 Å, b = 4.4628 Å, c = 4.4628 Å, α = 90.00°, β = 90.00° and γ = 90.00°. Symmetry generates all atoms from Si at (0.0000, 0.0000, 0.0000), C at (0.5000, 0.5000, 0.5000) and S at (0.0000, 0.0000, 0.5000).

---

[6]
An optimized crystal structure of SiCS, computed with PBE.

The value obtained for the magnetic moment is 0.000 μB/f.u. Its uncorrected formation energy is 2.27 eV per formula unit. As for the raw total energy: -16.50 eV per formula unit.

It has space group Imm2 (No. 44), with a = 2.6937 Å, b = 5.2166 Å, c = 7.6690 Å, α = 90.00°, β = 90.00° and γ = 90.00°. Symmetry generates all atoms from Si at (0.0000, 0.0000, 0.0000), C at (0.0000, 0.0000, 0.7618) and S at (0.0000, 0.5000, 0.1233).

---

[7]
An optimized crystal structure of SiCS, computed with PBE.

The value obtained for the magnetic moment is 0.000 μB/f.u. Its uncorrected formation energy is 2.13 eV per formula unit. As for the raw total energy: -16.64 eV per formula unit.

It has space group Pm (No. 6), with a = 3.2068 Å, b = 2.7082 Å, c = 6.4032 Å, α = 90.00°, β = 104.52° and γ = 90.00°. Symmetry generates all atoms from Si at (0.0000, 0.0000, 0.0000), C at (0.8522, 0.0000, 0.7005) and S at (0.7688, 0.5000, 0.5330).

---

[8]
An optimized crystal structure of SiCS, computed with PBE.

The value obtained for the magnetic moment is 0.000 μB/f.u. Its uncorrected formation energy is -0.20 eV per formula unit. As for the raw total energy: -18.97 eV per formula unit.

It has space group C2/m (No. 12), with a = 11.5028 Å, b = 6.1977 Å, c = 3.2558 Å, α = 90.00°, β = 95.43° and γ = 90.00°. Symmetry generates all atoms from Si at (0.0000, 0.2259, 0.0000), C at (0.0000, 0.3893, 0.5000) and S at (0.1426, 0.0000, 0.0513).